Entry 1:
Below is a relaxed structure of InSbRu2Rh, with properties calculated at the GGA-PBE level.

a = 4.867 Å, b = 5.314 Å, c = 4.867 Å
α = 90.00°, β = 90.00°, γ = 90.00°
Site moments in Bohr magnetons follow the coordinates.
Positions (direct):
Ru1 0.000 0.000 0.500  1.64
Sb1 0.000 0.500 0.000  -0.01
Ru2 0.500 0.000 0.000  1.50
Rh1 0.500 0.500 0.500  0.88
In1 0.000 0.000 0.000  -0.05

Values from the calculation:
Spin magnetization   4.1 μB per cell
DOS(E_F)   7.99 states/eV/f.u.
Formation energy from raw total energies   2.048 eV per atom
Total DFT energy (no corrections)   -4.5051 eV per atom
Symmetry   P4/mmm

=====

Entry 2:
Below is a relaxed structure of RbGaSn2, with properties calculated at the GGA-PBE level.

a = 5.524 Å, b = 4.762 Å, c = 10.214 Å
α = 90.00°, β = 105.14°, γ = 90.00°
Positions (direct):
Ga1 0.811 0.250 0.646
Ga2 0.189 0.750 0.354
Sn1 0.979 0.750 0.077
Rb1 0.412 0.750 0.791
Sn2 0.021 0.250 0.923
Sn3 0.755 0.750 0.493
Rb2 0.588 0.250 0.209
Sn4 0.245 0.250 0.507

Values from the calculation:
Spin magnetization   0.0 μB per cell
DOS(E_F)   1.41 states/eV/f.u.
Total DFT energy (no corrections)   -3.1378 eV per atom
Symmetry   P2_1/m

=====

Entry 3:
Below is a relaxed structure of Li3IrW, with properties calculated at the GGA-PBE level.

a = 4.263 Å, b = 4.263 Å, c = 4.263 Å
α = 90.00°, β = 90.00°, γ = 90.00°
Positions (direct):
Li1 0.000 0.500 0.000
Li2 0.000 0.000 0.500
W1 0.500 0.500 0.500
Ir1 0.000 0.000 0.000
Li3 0.500 0.000 0.000

Values from the calculation:
Spin magnetization   0.0 μB per cell
DOS(E_F)   4.58 states/eV/f.u.
Total DFT energy (no corrections)   -4.0617 eV per atom
Symmetry   Pm-3m
E above lowest polymorph   0.00 kcal/mol of atoms

=====

Entry 4:
Below is a relaxed structure of Co2Hg, with properties calculated at the GGA-PBE level.

a = 6.363 Å, b = 6.363 Å, c = 3.975 Å
α = 90.00°, β = 90.00°, γ = 146.76°
Site moments in Bohr magnetons follow the coordinates.
Positions (direct):
Hg1 0.585 0.415 0.750  -0.03
Hg2 0.415 0.585 0.250  -0.03
Co1 0.125 0.875 0.250  1.69
Co2 0.251 0.749 0.750  1.68
Co3 0.749 0.251 0.250  1.68
Co4 0.875 0.125 0.750  1.69

Values from the calculation:
Spin magnetization   6.6 μB per cell
DOS(E_F)   3.34 states/eV/f.u.
Total DFT energy (no corrections)   -4.4542 eV per atom
Symmetry   Cmcm

=====

Entry 5:
Below is a relaxed structure of IrC3, with properties calculated at the GGA-PBE level.

a = 2.628 Å, b = 2.848 Å, c = 10.408 Å
α = 90.00°, β = 90.00°, γ = 90.00°
Positions (direct):
C1 0.500 0.500 0.386
Ir1 0.000 0.500 0.659
C2 0.000 0.500 0.317
Ir2 0.000 0.000 0.159
C3 0.500 0.500 0.519
C4 0.500 0.000 0.886
C5 0.000 0.000 0.817
C6 0.500 0.000 0.019

Values from the calculation:
Spin magnetization   0.0 μB per cell
DOS(E_F)   1.89 states/eV/f.u.
Total DFT energy (no corrections)   -8.3861 eV per atom
Symmetry   Amm2
E above lowest polymorph   0.70 kcal/mol of atoms

=====

Entry 6:
Below is a relaxed structure of MgPaSi2Ni2, with properties calculated at the GGA-PBE level.

a = 4.056 Å, b = 4.056 Å, c = 6.650 Å
α = 90.00°, β = 90.00°, γ = 120.00°
Positions (direct):
Ni1 0.667 0.333 0.298
Mg1 0.000 0.000 0.500
Si1 0.667 0.333 0.725
Ni2 0.333 0.667 0.702
Pa1 0.000 0.000 0.000
Si2 0.333 0.667 0.275

Values from the calculation:
Spin magnetization   0.0 μB per cell
DOS(E_F)   4.10 states/eV/f.u.
Formation energy from raw total energies   -0.580 eV per atom
Total DFT energy (no corrections)   -6.1634 eV per atom
Symmetry   P-3m1

=====

Question: Which formula does entry 5 have?
Answer: IrC3

=====

Question: The lowest DOS(E_F) belongs to which entry?
Answer: RbGaSn2

=====

Question: What is the formula in the fifth record?
Answer: IrC3

=====

Question: What is the total DFT energy (no corrections) in the fourth record?
Answer: -4.4542 eV per atom